Entry 1:
Compound: BaTi2RuO8
Source: the Alexandria database
Functional: GGA-PBE
Structure: relaxed

Properties
total moment = 0.00 μB per formula unit
E_form (uncorrected) = -2.179 eV per atom

```
BaTi2RuO8
1.0
5.1069 0.6434 0.4730
0.6884 5.1025 0.4718
0.6573 0.6540 7.1163
Ba Ru O Ti
1 1 8 2
Cartesian
0.3286 0.3270 3.5582
0.0000 0.0000 0.0000
2.1815 4.4850 6.2260
4.1035 4.0736 4.1042
1.8707 1.8509 6.6711
2.3491 2.3263 3.9569
4.5055 2.1492 6.2258
4.2711 1.9149 1.8351
1.9471 4.2507 1.8354
4.5819 4.5490 1.3900
3.1380 3.1127 5.5047
3.3146 3.2872 2.5564
```

---

Entry 2:
Compound: ZrIn2W
Source: the Alexandria database
Functional: GGA-PBE
Structure: relaxed

Properties
total moment = 0.00 μB per formula unit
energy above the lowest structure with this stoichiometry = 0.367 eV per formula unit
ΔH_f (0 K) = 300 meV/atom

```
ZrIn2W
1.0
-5.0972 -0.9006 1.6548
-3.6700 -3.4612 2.0203
0.7908 1.1743 5.1394
W In Zr
1 2 1
Cartesian
-3.9863 -1.5909 4.4192
-1.9373 -0.7634 2.2161
0.7687 1.1612 5.1337
-6.0190 -2.4137 6.5921
```

---

Entry 3:
Compound: CuSn2Ir
Source: the Alexandria database
Functional: GGA-PBE
Structure: relaxed

Properties
total moment = 0.00 μB per formula unit
energy above the lowest structure with this stoichiometry = 0.665 eV per formula unit
ΔH_f (0 K) = 271 meV/atom

```
CuSn2Ir
1.0
4.3809 0.0000 0.0000
0.0000 4.3809 0.0000
2.1905 2.1905 8.6107
Cu Sn Ir
2 4 2
Cartesian
2.1905 4.3809 4.3054
2.1905 2.1905 0.0000
3.2857 3.3085 6.4581
5.4761 5.4533 6.4581
1.1181 3.2857 2.1527
3.2628 1.0952 2.1527
0.0000 0.0000 0.0000
4.3809 2.1905 4.3054
```

---

Question: Which value of total moment does entry 2 give?
Answer: 0.00 μB per formula unit